No. 1
Material: ThSb2Pd
Method: DFT, GGA-PBE
State: relaxed

Calculated values
Calculated density ... 6.76 g/cm³
Total magnetization ... 0.00 μB/f.u.
E_tot ... -60.692 eV for the cell shown
E_form (uncorrected) ... 15 kJ/mol of atoms
SG ... R-3m, No. 166

Structure (extended XYZ):
```
12
Lattice="4.252 0.000 0.000 -2.126 3.682 0.000 0.000 0.000 27.386" Properties=species:S:1:pos:R:3 pbc="T T T"
Th 0.000 0.000 0.000
Th 0.000 2.455 18.257
Th 2.126 1.227 9.129
Sb 0.000 0.000 11.137
Sb 0.000 0.000 16.249
Sb 0.000 2.455 2.008
Sb 0.000 2.455 7.121
Sb 2.126 1.227 20.265
Sb 2.126 1.227 25.378
Pd 0.000 0.000 13.693
Pd 0.000 2.455 4.564
Pd 2.126 1.227 22.821
```



No. 2
Material: ThTl2Sb2Pd7
Method: DFT, GGA-PBE
State: relaxed

Calculated values
Calculated density ... 10.28 g/cm³
Total magnetization ... 0.00 μB/f.u.
E_tot ... -62.129 eV for the cell shown
E_form (uncorrected) ... -43 kJ/mol of atoms
SG ... C2/m, No. 12

Structure (extended XYZ):
```
12
Lattice="2.918 -2.925 0.000 2.918 2.925 0.000 -1.534 0.000 15.418" Properties=species:S:1:pos:R:3 pbc="T T T"
Th 0.000 0.000 0.000
Tl 0.019 0.000 6.286
Tl 4.283 0.000 9.132
Sb 1.362 0.000 11.557
Sb 2.940 0.000 3.861
Pd 1.473 1.460 2.142
Pd 1.426 0.000 8.939
Pd 2.829 1.460 13.276
Pd 2.918 0.000 0.000
Pd 1.473 -1.460 2.142
Pd 2.876 0.000 6.479
Pd 2.829 -1.460 13.276
```



No. 3
Material: ThZrSb2Pd2
Method: DFT, GGA-PBE
State: relaxed

Calculated values
Calculated density ... 9.76 g/cm³
Total magnetization ... 0.00 μB/f.u.
E_tot ... -39.522 eV for the cell shown
E_form (uncorrected) ... -79 kJ/mol of atoms
SG ... P-3m1, No. 164

Structure (extended XYZ):
```
6
Lattice="4.616 0.000 0.000 -2.308 3.997 0.000 0.000 0.000 7.190" Properties=species:S:1:pos:R:3 pbc="T T T"
Th 0.000 0.000 0.000
Zr 0.000 0.000 3.595
Sb 0.000 2.665 1.880
Sb 2.308 1.332 5.310
Pd 0.000 2.665 4.956
Pd 2.308 1.332 2.233
```



No. 4
Material: Ti6SbPd5
Method: DFT, GGA-PBE
State: relaxed

Calculated values
Calculated density ... 8.07 g/cm³
Total magnetization ... 0.32 μB/f.u.
E_tot ... -83.418 eV for the cell shown
E_form (uncorrected) ... -48 kJ/mol of atoms
SG ... P2/m, No. 10

Structure (extended XYZ):
```
12
Lattice="3.983 0.000 0.000 0.000 7.997 0.000 -1.977 0.000 6.082" Properties=species:S:1:pos:R:3 pbc="T T T"
Ti 0.000 1.883 0.000
Ti 0.000 6.115 0.000
Ti 0.010 1.956 4.013
Ti 0.010 6.041 4.013
Ti 1.996 1.956 2.069
Ti 1.996 6.041 2.069
Sb 1.992 3.999 0.000
Pd 0.004 0.000 2.038
Pd 0.006 3.999 2.051
Pd 1.992 0.000 0.000
Pd 2.000 3.999 4.031
Pd 2.002 0.000 4.044
```



No. 5
Material: Ti2Sb4Pd
Method: DFT, GGA-PBE
State: relaxed

Calculated values
Calculated density ... 7.17 g/cm³
Total magnetization ... 0.00 μB/f.u.
E_tot ... -79.204 eV for the cell shown
E_form (uncorrected) ... -29 kJ/mol of atoms
SG ... C2/m, No. 12

Structure (extended XYZ):
```
14
Lattice="14.075 0.000 0.000 0.000 3.894 0.000 -2.883 0.000 5.828" Properties=species:S:1:pos:R:3 pbc="T T T"
Ti 2.728 0.000 1.546
Ti 1.427 1.947 4.283
Ti 9.765 1.947 1.546
Ti 8.464 0.000 4.283
Sb 0.162 0.000 2.730
Sb -1.039 1.947 5.499
Sb 5.193 0.000 0.329
Sb 3.992 1.947 3.098
Sb 7.199 1.947 2.730
Sb 5.999 0.000 5.499
Sb 12.230 1.947 0.329
Sb 11.030 0.000 3.098
Pd 0.000 0.000 0.000
Pd 7.037 1.947 0.000
```



No. 6
Material: Ti4SbPd
Method: DFT, GGA-PBE
State: relaxed

Calculated values
Calculated density ... 6.15 g/cm³
Total magnetization ... 0.00 μB/f.u.
E_tot ... -82.852 eV for the cell shown
E_form (uncorrected) ... -9 kJ/mol of atoms
SG ... C2/c, No. 15

Structure (extended XYZ):
```
12
Lattice="6.983 -2.509 0.000 6.983 2.509 0.000 -1.377 0.000 6.471" Properties=species:S:1:pos:R:3 pbc="T T T"
Ti 5.177 1.915 3.679
Ti 3.424 0.787 5.734
Ti 6.724 1.915 6.029
Ti 4.113 -0.787 2.498
Ti 8.477 0.787 3.973
Ti 5.866 -1.915 0.443
Ti 9.165 -0.787 0.737
Ti 7.412 -1.915 2.793
Sb 6.639 0.594 1.618
Sb 5.950 -0.594 4.854
Pd 2.803 1.254 3.236
Pd 3.492 -1.254 0.000
```



No. 7
Material: TiSb3Pd
Method: DFT, GGA-PBE
State: relaxed

Calculated values
Calculated density ... 6.25 g/cm³
Total magnetization ... 0.00 μB/f.u.
E_tot ... -22.547 eV for the cell shown
E_form (uncorrected) ... 56 kJ/mol of atoms
SG ... Pm-3m, No. 221

Structure (extended XYZ):
```
5
Lattice="5.168 0.000 0.000 0.000 5.168 0.000 0.000 0.000 5.168" Properties=species:S:1:pos:R:3 pbc="T T T"
Ti 0.000 0.000 0.000
Sb 0.000 2.584 2.584
Sb 2.584 0.000 2.584
Sb 2.584 2.584 0.000
Pd 2.584 2.584 2.584
```



No. 8
Material: Ti5SbPd2
Method: DFT, GGA-PBE
State: relaxed

Calculated values
Calculated density ... 6.81 g/cm³
Total magnetization ... 0.00 μB/f.u.
E_tot ... -113.822 eV for the cell shown
E_form (uncorrected) ... -35 kJ/mol of atoms
SG ... I4/mcm, No. 140

Structure (extended XYZ):
```
16
Lattice="-3.305 3.305 6.411 3.305 -3.305 6.411 3.305 3.305 -6.411" Properties=species:S:1:pos:R:3 pbc="T T T"
Ti 0.000 0.000 0.000
Ti 2.319 -0.986 2.024
Ti 4.290 -0.986 4.387
Ti 4.290 0.986 2.024
Ti 2.319 0.986 4.387
Ti 0.000 0.000 6.411
Ti 0.986 2.319 2.024
Ti -0.986 2.319 4.387
Ti -0.986 4.290 2.024
Ti 0.986 4.290 4.387
Sb 0.000 0.000 3.206
Sb 0.000 0.000 9.617
Pd 2.372 0.933 0.000
Pd 2.372 -0.933 6.411
Pd 0.933 4.238 0.000
Pd 0.933 2.372 6.411
```